CrCdRh: relaxed, PBE-GGA.

Values from the calculation:
For the total energy, the calculation gives -5.742 eV/atom. As for the density of states at the Fermi level: 1.196 states/eV/atom. As for the total magnetic moment: 0.009 μB per formula unit.

a = 2.784 Å, b = 2.784 Å, c = 6.849 Å
α = 90.00°, β = 90.00°, γ = 120.00°
Fractional positions:
Cd  0.000  0.000  0.004
Cr  0.667  0.333  0.358
Rh  0.333  0.667  0.638